Ba2LiAg: PBEsol geometry, SCAN.

abc: 5.8276 5.8276 5.8276
angles: 60.00 60.00 60.00
Closest atoms and distances in Å follow each position.
Atoms (fractional coordinates):
Ba  0.7500  0.7500  0.7500  4 Ag 3.57, 4 Li 3.57
Ba  0.2500  0.2500  0.2500  4 Li 3.57, 4 Ag 3.57
Ag  0.0000  0.0000  0.0000  8 Ba 3.57
Li  0.5000  0.5000  0.5000  8 Ba 3.57

Formation energy from the elements (eV/atom): -0.080
Excess energy over the best structure of this formula in the dataset (eV per atom): 0.052
SG: Fm-3m
Total DFT energy (no corrections) (eV per atom): -28.295

La2TaBr: PBEsol geometry, SCAN.

abc: 3.3308 5.2543 6.1050
angles: 90.00 105.83 90.00
Closest atoms and distances in Å follow each position.
Atoms (fractional coordinates):
La  0.0006  0.5000  0.0013  3 Br 3.03-3.29, 4 Ta 3.11, 2 La 3.33
La  0.2558  0.0000  0.5116  1 Ta 2.88, 4 Br 3.11
Br  0.7425  0.5000  0.4850  7 La 3.03-3.29, 2 Br 3.33
Ta  0.5011  0.0000  0.0023  5 La 2.88-3.11

Excess energy over the best structure of this formula in the dataset (eV per atom): 0.000
SG: Amm2
Total DFT energy (no corrections) (eV per atom): -43.317
Formation energy from raw total energies (kJ/mol of formula units): -98

KNiTe2: PBEsol geometry, SCAN.

abc: 4.0657 4.8113 4.8113
angles: 90.00 90.00 90.00
Closest atoms and distances in Å follow each position.
Atoms (fractional coordinates):
K  0.5000  0.5000  0.5000  8 Te 3.15, 4 Ni 3.40
Ni  0.5000  0.0000  0.0000  8 Te 3.15, 4 K 3.40
Te  0.0000  0.0000  0.5000  4 Ni 3.15, 4 K 3.15, 4 Te 3.40
Te  0.0000  0.5000  0.0000  4 Ni 3.15, 4 K 3.15, 4 Te 3.40

SG: P4/mmm
Total DFT energy (no corrections) (eV per atom): -24.530
Formation energy from raw total energies (kJ/mol of formula units): 85

KTlAg2: PBEsol geometry, SCAN.

abc: 5.0284 5.1135 5.1135
angles: 62.67 60.55 60.55
Closest atoms and distances in Å follow each position.
Atoms (fractional coordinates):
Ag  0.2276  0.7724  0.7724  4 Tl 2.99-3.29, 4 K 3.12-3.18, 1 Ag 3.25
Ag  0.7724  0.2276  0.2276  4 Tl 2.99-3.29, 4 K 3.12-3.18, 1 Ag 3.25
K  0.0000  0.5000  0.5000  8 Ag 3.12-3.18
Tl  0.5000  0.0000  0.0000  8 Ag 2.99-3.29

Formation energy from the elements (eV/atom): 0.172
Excess energy over the best structure of this formula in the dataset (eV per atom): 0.175
SG: Immm
Total DFT energy (no corrections) (eV per atom): -35.684